1.
A geometry-optimized Sc2SiHgTe structure, computed with PBE.

abc: 5.2833 5.4909 5.2833
angles: 90.00 90.00 90.00
Last column: nearest neighbours and their distance in Å.
Atoms (fractional coordinates):
1 Sc 0.0000 0.0000 0.5000  2 Hg 2.64
2 Sc 0.5000 0.0000 0.0000  2 Hg 2.64
3 Si 0.5000 0.5000 0.5000  4 Te 3.74, 8 Sc 3.81
4 Te 0.0000 0.5000 0.0000  2 Hg 2.75
5 Hg 0.0000 0.0000 0.0000  4 Sc 2.64, 2 Te 2.75

Values from the calculation:
Its electronic total energy is -3.570 eV/atom. Its density of states at the Fermi level is 4.99 states/eV per cell. For the calculated volume, the calculation gives 153 Å³/f.u. The uncorrected formation energy is 0.74 eV per atom. The calculation puts the total moment at 0.00 μB per cell.



2.
A geometry-optimized ScZnSi2Hg structure, computed with PBE.

abc: 4.6636 5.0509 4.6636
angles: 90.00 90.00 90.00
Last column: nearest neighbours and their distance in Å.
Atoms (fractional coordinates):
1 Sc 0.5000 0.5000 0.5000  4 Hg 3.30, 8 Si 3.44
2 Zn 0.0000 0.0000 0.0000  4 Si 2.33, 2 Hg 2.53
3 Si 0.0000 0.0000 0.5000  2 Zn 2.33
4 Si 0.5000 0.0000 0.0000  2 Zn 2.33
5 Hg 0.0000 0.5000 0.0000  2 Zn 2.53

Values from the calculation:
Its electronic total energy is -3.226 eV/atom. Its density of states at the Fermi level is 2.78 states/eV per cell. For the calculated volume, the calculation gives 110 Å³/f.u. The uncorrected formation energy is 0.52 eV per atom. The calculation puts the total moment at 0.00 μB per cell.



3.
A geometry-optimized SmSc3Hg6 structure, computed with PBE.

abc: 5.0052 8.8896 10.8235
angles: 106.51 90.00 90.00
Last column: nearest neighbours and their distance in Å.
Atoms (fractional coordinates):
1 Sm 0.2500 0.9335 0.6163  10 Hg 3.12-3.32
2 Sm 0.7500 0.0665 0.3837  10 Hg 3.12-3.32
3 Sc 0.2500 0.5147 0.3927  7 Hg 2.89-3.15
4 Sc 0.7500 0.4853 0.6073  7 Hg 2.89-3.15
5 Sc 0.2500 0.3507 0.8126  8 Hg 2.94-3.05
6 Sc 0.7500 0.6493 0.1874  8 Hg 2.94-3.05
7 Sc 0.2500 0.7619 0.9985  8 Hg 2.95-3.19
8 Sc 0.7500 0.2381 0.0015  8 Hg 2.95-3.19
9 Hg 0.2500 0.4635 0.0972  7 Sc 2.96-3.19, 1 Hg 3.29
10 Hg 0.7500 0.5365 0.9028  7 Sc 2.96-3.19, 1 Hg 3.29
11 Hg 0.2500 0.1480 0.2131  8 Hg 3.08-3.38, 1 Sc 3.29, 2 Sm 3.31
12 Hg 0.7500 0.8520 0.7869  8 Hg 3.08-3.38, 1 Sc 3.29, 2 Sm 3.31
13 Hg 0.2500 0.6297 0.7122  4 Sc 2.89-2.99, 2 Hg 3.15, 1 Sm 3.16
14 Hg 0.7500 0.3703 0.2878  4 Sc 2.89-2.99, 2 Hg 3.15, 1 Sm 3.16
15 Hg 0.2500 0.2635 0.5295  4 Sc 2.94-3.15, 2 Sm 3.20, 3 Hg 3.28
16 Hg 0.7500 0.7365 0.4705  4 Sc 2.94-3.15, 2 Sm 3.20, 3 Hg 3.28
17 Hg 0.2500 0.8158 0.3032  4 Sc 2.99-3.19, 3 Sm 3.25-3.30, 3 Hg 3.28-3.29
18 Hg 0.7500 0.1842 0.6968  4 Sc 2.99-3.19, 3 Sm 3.25-3.30, 3 Hg 3.28-3.29
19 Hg 0.2500 0.0649 0.9163  4 Sc 2.95-3.07, 3 Hg 3.08-3.21, 1 Sm 3.12
20 Hg 0.7500 0.9351 0.0837  4 Sc 2.95-3.07, 3 Hg 3.08-3.21, 1 Sm 3.12

Values from the calculation:
Its electronic total energy is -2.924 eV/atom. Its density of states at the Fermi level is 14.73 states/eV per cell. The calculation puts the energy relative to the elements at -3.71 eV/f.u. For the calculated volume, the calculation gives 231 Å³/f.u. The calculation puts the total moment at 0.00 μB per cell.



4.
A geometry-optimized Sm2ScHg structure, computed with PBE.

abc: 3.5975 3.5975 10.6410
angles: 80.27 80.27 60.00
Last column: nearest neighbours and their distance in Å.
Atoms (fractional coordinates):
1 Sm 0.0808 0.0808 0.7577  3 Hg 3.27, 3 Sc 3.39, 6 Sm 3.60
2 Sm 0.2527 0.2527 0.2419  3 Hg 3.27, 3 Sc 3.41, 6 Sm 3.60
3 Sc 0.4998 0.4998 0.5005  6 Sm 3.39-3.41, 6 Sc 3.60
4 Hg 0.6667 0.6667 0.9999  6 Sm 3.27, 6 Hg 3.60

Values from the calculation:
Its electronic total energy is -4.124 eV/atom. Its density of states at the Fermi level is 5.45 states/eV per cell. The calculation puts the energy relative to the elements at -0.43 eV/f.u. The relative energy among the computed polymorphs comes out at 83 meV/atom. For the calculated volume, the calculation gives 117 Å³/f.u. The calculation puts the total moment at 0.00 μB per cell.



5.
A geometry-optimized SmSc7Hg4 structure, computed with PBE.

abc: 5.3174 8.5009 7.4578
angles: 69.95 69.11 71.77
Last column: nearest neighbours and their distance in Å.
Atoms (fractional coordinates):
1 Sm 0.0000 0.0000 0.0000  2 Sc 2.66
2 Sc 0.7904 0.8823 0.5368  4 Hg 3.02-3.36, 5 Sc 3.23-3.35
3 Sc 0.2096 0.1177 0.4632  4 Hg 3.02-3.36, 5 Sc 3.23-3.35
4 Sc 0.0682 0.5862 0.2774  3 Hg 2.94-3.04, 1 Sc 3.05
5 Sc 0.9318 0.4138 0.7226  3 Hg 2.94-3.04, 1 Sc 3.05
6 Sc 0.2658 0.6850 0.7834  4 Hg 2.78-2.92
7 Sc 0.5000 0.0000 0.0000  2 Sm 2.66, 4 Hg 2.79-2.94
8 Sc 0.7342 0.3150 0.2166  4 Hg 2.78-2.92
9 Hg 0.5512 0.2725 0.6251  4 Sc 2.78-3.04, 1 Hg 3.05
10 Hg 0.4488 0.7275 0.3749  4 Sc 2.78-3.04, 1 Hg 3.05
11 Hg 0.6870 0.6646 0.9615  6 Sc 2.79-3.02, 1 Hg 3.05
12 Hg 0.3130 0.3354 0.0385  6 Sc 2.79-3.02, 1 Hg 3.05

Values from the calculation:
Its electronic total energy is -4.259 eV/atom. Its density of states at the Fermi level is 14.11 states/eV per cell. The calculation puts the energy relative to the elements at -0.86 eV/f.u. For the calculated volume, the calculation gives 289 Å³/f.u. The calculation puts the total moment at 0.14 μB per cell.



6.
A geometry-optimized SmSc2Hg2 structure, computed with PBE.

abc: 3.6083 5.1457 13.3729
angles: 90.00 97.77 90.00
Last column: nearest neighbours and their distance in Å.
Atoms (fractional coordinates):
1 Sm 0.8530 0.7500 0.7068  6 Hg 3.14-3.31
2 Sm 0.1470 0.2500 0.2932  6 Hg 3.14-3.31
3 Sc 0.0491 0.7500 0.0981  8 Hg 3.01-3.18
4 Sc 0.9509 0.2500 0.9019  8 Hg 3.01-3.18
5 Sc 0.2385 0.7500 0.4775  2 Hg 3.01, 4 Sc 3.20
6 Sc 0.7615 0.2500 0.5225  2 Hg 3.01, 4 Sc 3.20
7 Hg 0.6476 0.7500 0.2954  4 Sc 3.01-3.18, 4 Sm 3.14
8 Hg 0.3524 0.2500 0.7046  4 Sc 3.01-3.18, 4 Sm 3.14
9 Hg 0.4581 0.7500 0.9162  6 Sc 3.01-3.15, 2 Sm 3.31
10 Hg 0.5419 0.2500 0.0838  6 Sc 3.01-3.15, 2 Sm 3.31

Values from the calculation:
Its electronic total energy is -3.927 eV/atom. Its density of states at the Fermi level is 11.47 states/eV per cell. The calculation puts the energy relative to the elements at -1.65 eV/f.u. For the calculated volume, the calculation gives 123 Å³/f.u. The calculation puts the total moment at 0.00 μB per cell.



7.
A geometry-optimized Sm4ScHg5 structure, computed with PBE.

abc: 3.7118 3.7118 19.0096
angles: 90.00 90.00 90.00
Last column: nearest neighbours and their distance in Å.
Atoms (fractional coordinates):
1 Sm 0.0000 0.0000 0.1913  8 Hg 3.28-3.31, 1 Sc 3.64
2 Sm 0.0000 0.0000 0.3971  8 Hg 3.27
3 Sm 0.0000 0.0000 0.6029  8 Hg 3.27
4 Sm 0.0000 0.0000 0.8087  8 Hg 3.28-3.31, 1 Sc 3.64
5 Sc 0.0000 0.0000 0.0000  8 Hg 3.09
6 Hg 0.5000 0.5000 0.0855  4 Sc 3.09, 1 Hg 3.25, 4 Sm 3.31
7 Hg 0.5000 0.5000 0.2947  8 Sm 3.27-3.28
8 Hg 0.5000 0.5000 0.5000  8 Sm 3.27
9 Hg 0.5000 0.5000 0.7053  8 Sm 3.27-3.28
10 Hg 0.5000 0.5000 0.9145  4 Sc 3.09, 1 Hg 3.25, 4 Sm 3.31

Values from the calculation:
Its electronic total energy is -3.125 eV/atom. Its density of states at the Fermi level is 12.16 states/eV per cell. The calculation puts the energy relative to the elements at -4.53 eV/f.u. For the calculated volume, the calculation gives 262 Å³/f.u. The calculation puts the total moment at 1.66 μB per cell.



8.
A geometry-optimized Sm2ScHg4 structure, computed with PBE.

abc: 4.8903 4.8903 9.7771
angles: 75.52 75.52 60.00
Last column: nearest neighbours and their distance in Å.
Atoms (fractional coordinates):
1 Sm 0.7534 0.7534 0.7398  8 Hg 3.13-3.35
2 Sm 0.2466 0.2466 0.2602  8 Hg 3.13-3.35
3 Sc 0.0000 0.0000 0.0000  6 Hg 2.97
4 Hg 0.8653 0.8653 0.4040  4 Sm 3.13-3.14, 3 Hg 3.35
5 Hg 0.1347 0.1347 0.5960  4 Sm 3.13-3.14, 3 Hg 3.35
6 Hg 0.6342 0.6342 0.0973  3 Sc 2.97, 3 Sm 3.21
7 Hg 0.3658 0.3658 0.9027  3 Sc 2.97, 3 Sm 3.21

Values from the calculation:
Its electronic total energy is -2.760 eV/atom. Its density of states at the Fermi level is 5.17 states/eV per cell. The calculation puts the energy relative to the elements at -2.34 eV/f.u. The relative energy among the computed polymorphs comes out at 0 meV/atom. For the calculated volume, the calculation gives 194 Å³/f.u. The calculation puts the total moment at 0.00 μB per cell.